The following is a DFT calculation (GGA+U) of a geometry-optimized TlCoNF2 structure.

It has space group P4/mmm (No. 123), with a = 4.480 Å, b = 4.480 Å, c = 4.236 Å, α = 90.00°, β = 90.00° and γ = 90.00°. The inequivalent atoms are Tl at (0.000, 0.000, 0.000), Co at (0.500, 0.500, 0.500), N at (0.000, 0.000, 0.500) and F at (0.000, 0.500, 0.000).

The calculation puts the raw total energy at -3.743 eV/atom.